First-principles (PBE+U) data for a geometry-optimized Mn2BIrF structure, as listed in the Alexandria database.

a = 5.080 Å, b = 5.080 Å, c = 3.913 Å
α = 90.00°, β = 90.00°, γ = 90.00°
Fractional positions:
Mn1 0.000 0.500 0.000
Mn2 0.500 0.000 0.000
B1 0.000 0.000 0.500
Ir1 0.000 0.000 0.000
F1 0.500 0.500 0.500

Summary:
For the volume, the calculation gives 101.0 Å³/cell. The value obtained for the density of states at the Fermi level is 0.468 states/eV/atom. The space group is P4/mmm (123). For the total energy, the calculation gives -6.368 eV per atom. Its total moment is 10.10 μB per formula unit.